Computed, not measured: ReH3Pd after structural relaxation at the PBE level of DFT.

Properties
For the spin magnetization, the calculation gives 0.000 μB per formula unit. For the total energy, the calculation gives -25.26 eV/cell. Its crystal system is cubic.

a = 3.469 Å, b = 3.469 Å, c = 3.469 Å
α = 90.00°, β = 90.00°, γ = 90.00°
Space group Pm-3m (No. 221)
Asymmetric unit:
Re: 0.000 0.000 0.000 [1 per cell]
H: 0.000 0.000 0.500 [3 per cell]
Pd: 0.500 0.500 0.500 [1 per cell]

***

Computed, not measured: Re2H2Pd after structural relaxation at the PBE level of DFT.

Properties
For the spin magnetization, the calculation gives 0.000 μB per formula unit. For the total energy, the calculation gives -68.42 eV/cell. Its crystal system is tetragonal.

a = 6.010 Å, b = 6.010 Å, c = 2.873 Å
α = 90.00°, β = 90.00°, γ = 90.00°
Space group P4/mbm (No. 127)
Asymmetric unit:
Re: 0.138 0.362 0.000 [4 per cell]
H: 0.127 0.627 0.500 [4 per cell]
Pd: 0.000 0.000 0.500 [2 per cell]

***

Computed, not measured: ReH2Pd after structural relaxation at the PBE level of DFT.

Properties
For the spin magnetization, the calculation gives 1.472 μB per formula unit. For the total energy, the calculation gives -82.44 eV/cell. Its crystal system is cubic.

a = 5.334 Å, b = 5.334 Å, c = 5.334 Å
α = 90.00°, β = 90.00°, γ = 90.00°
Space group Fm-3m (No. 225)
Asymmetric unit:
Re: 0.000 0.000 0.000 [4 per cell]
H: 0.250 0.250 0.250 [8 per cell]
Pd: 0.000 0.000 0.500 [4 per cell]

***

Computed, not measured: ReH2Pd after structural relaxation at the PBE level of DFT.

Properties
For the spin magnetization, the calculation gives 0.000 μB per formula unit. For the total energy, the calculation gives -92.06 eV/cell. Its crystal system is tetragonal.

a = 4.277 Å, b = 4.277 Å, c = 8.121 Å
α = 90.00°, β = 90.00°, γ = 90.00°
Space group I-42d (No. 122)
Asymmetric unit:
Re: 0.000 0.000 0.000 [4 per cell]
H: 0.247 0.250 0.125 [8 per cell]
Pd: 0.000 0.000 0.500 [4 per cell]

***

Computed, not measured: ReHPd2 after structural relaxation at the PBE level of DFT.

Properties
For the spin magnetization, the calculation gives 0.829 μB per formula unit. For the total energy, the calculation gives -89.19 eV/cell. Its crystal system is cubic.

a = 6.029 Å, b = 6.029 Å, c = 6.029 Å
α = 90.00°, β = 90.00°, γ = 90.00°
Space group Fm-3m (No. 225)
Asymmetric unit:
Re: 0.000 0.000 0.000 [4 per cell]
H: 0.000 0.000 0.500 [4 per cell]
Pd: 0.250 0.250 0.250 [8 per cell]

***

Computed, not measured: ReHPd2 after structural relaxation at the PBE level of DFT.

Properties
For the spin magnetization, the calculation gives 0.000 μB per formula unit. For the total energy, the calculation gives -74.78 eV/cell. Its crystal system is trigonal.

a = 2.7353 Å, b = 2.7353 Å, c = 23.2443 Å
α = 90.00°, β = 90.00°, γ = 120.00°
Space group R-3m (No. 166, hexagonal axes)
Asymmetric unit:
Re: 0.0000 0.0000 0.0000 [3 per cell]
H: 0.0000 0.0000 0.5000 [3 per cell]
Pd: 0.0000 0.0000 0.1115 [6 per cell]

***

Computed, not measured: ReH3Pd after structural relaxation at the PBE level of DFT.

Properties
For the spin magnetization, the calculation gives 0.876 μB per formula unit. For the total energy, the calculation gives -24.00 eV/cell. Its crystal system is cubic.

a = 3.432 Å, b = 3.432 Å, c = 3.432 Å
α = 90.00°, β = 90.00°, γ = 90.00°
Space group Pm-3m (No. 221)
Asymmetric unit:
Re: 0.000 0.000 0.000 [1 per cell]
H: 0.000 0.500 0.500 [3 per cell]
Pd: 0.500 0.500 0.500 [1 per cell]

***

Computed, not measured: ReHPdRu2 after structural relaxation at the PBE level of DFT.

Properties
For the spin magnetization, the calculation gives 0.000 μB per formula unit. For the total energy, the calculation gives -38.42 eV/cell. Its crystal system is tetragonal.

a = 3.930 Å, b = 3.930 Å, c = 3.885 Å
α = 90.00°, β = 90.00°, γ = 90.00°
Space group P4/mmm (No. 123)
Asymmetric unit:
Re: 0.000 0.000 0.000 [1 per cell]
H: 0.000 0.000 0.500 [1 per cell]
Pd: 0.500 0.500 0.000 [1 per cell]
Ru: 0.000 0.500 0.500 [2 per cell]

***

Computed, not measured: Ta2ReHPd after structural relaxation at the PBE level of DFT.

Properties
For the spin magnetization, the calculation gives 0.000 μB per formula unit. For the total energy, the calculation gives -45.24 eV/cell. Its crystal system is tetragonal.

a = 4.202 Å, b = 4.202 Å, c = 3.853 Å
α = 90.00°, β = 90.00°, γ = 90.00°
Space group P4/mmm (No. 123)
Asymmetric unit:
Ta: 0.000 0.500 0.000 [2 per cell]
Re: 0.000 0.000 0.500 [1 per cell]
H: 0.000 0.000 0.000 [1 per cell]
Pd: 0.500 0.500 0.500 [1 per cell]

***

Computed, not measured: TaRe2HPd after structural relaxation at the PBE level of DFT.

Properties
For the spin magnetization, the calculation gives 0.000 μB per formula unit. For the total energy, the calculation gives -45.39 eV/cell. Its crystal system is tetragonal.

a = 4.006 Å, b = 4.006 Å, c = 4.016 Å
α = 90.00°, β = 90.00°, γ = 90.00°
Space group P4/mmm (No. 123)
Asymmetric unit:
Ta: 0.000 0.000 0.000 [1 per cell]
Re: 0.000 0.500 0.500 [2 per cell]
H: 0.500 0.500 0.500 [1 per cell]
Pd: 0.500 0.500 0.000 [1 per cell]

***

Computed, not measured: Ta2ReHPd after structural relaxation at the PBE level of DFT.

Properties
For the spin magnetization, the calculation gives 0.000 μB per formula unit. For the total energy, the calculation gives -45.26 eV/cell. Its crystal system is tetragonal.

a = 4.281 Å, b = 4.281 Å, c = 3.718 Å
α = 90.00°, β = 90.00°, γ = 90.00°
Space group P4/mmm (No. 123)
Asymmetric unit:
Ta: 0.000 0.500 0.000 [2 per cell]
Re: 0.000 0.000 0.500 [1 per cell]
H: 0.500 0.500 0.000 [1 per cell]
Pd: 0.500 0.500 0.500 [1 per cell]

***

Computed, not measured: Re2TcHPd after structural relaxation at the PBE level of DFT.

Properties
For the spin magnetization, the calculation gives 0.000 μB per formula unit. For the total energy, the calculation gives -42.97 eV/cell. Its crystal system is tetragonal.

a = 3.938 Å, b = 3.938 Å, c = 3.948 Å
α = 90.00°, β = 90.00°, γ = 90.00°
Space group P4/mmm (No. 123)
Asymmetric unit:
Re: 0.000 0.500 0.000 [2 per cell]
Tc: 0.000 0.000 0.500 [1 per cell]
H: 0.000 0.000 0.000 [1 per cell]
Pd: 0.500 0.500 0.500 [1 per cell]

***

Computed, not measured: Ti2ReHPd after structural relaxation at the PBE level of DFT.

Properties
For the spin magnetization, the calculation gives 0.000 μB per formula unit. For the total energy, the calculation gives -38.39 eV/cell. Its crystal system is tetragonal.

a = 4.231 Å, b = 4.231 Å, c = 3.600 Å
α = 90.00°, β = 90.00°, γ = 90.00°
Space group P4/mmm (No. 123)
Asymmetric unit:
Ti: 0.000 0.500 0.000 [2 per cell]
Re: 0.000 0.000 0.500 [1 per cell]
H: 0.000 0.000 0.000 [1 per cell]
Pd: 0.500 0.500 0.500 [1 per cell]

***

Computed, not measured: Ti2ReHPd after structural relaxation at the PBE level of DFT.

Properties
For the spin magnetization, the calculation gives 0.000 μB per formula unit. For the total energy, the calculation gives -38.50 eV/cell. Its crystal system is tetragonal.

a = 4.304 Å, b = 4.304 Å, c = 3.461 Å
α = 90.00°, β = 90.00°, γ = 90.00°
Space group P4/mmm (No. 123)
Asymmetric unit:
Ti: 0.000 0.500 0.000 [2 per cell]
Re: 0.000 0.000 0.500 [1 per cell]
H: 0.500 0.500 0.000 [1 per cell]
Pd: 0.500 0.500 0.500 [1 per cell]

***

Computed, not measured: TlRe2HPd after structural relaxation at the PBE level of DFT.

Properties
For the spin magnetization, the calculation gives 6.406 μB per formula unit. For the total energy, the calculation gives -20.49 eV/cell. Its crystal system is tetragonal.

a = 5.267 Å, b = 5.267 Å, c = 5.120 Å
α = 90.00°, β = 90.00°, γ = 90.00°
Space group P4/mmm (No. 123)
Asymmetric unit:
Tl: 0.000 0.000 0.000 [1 per cell]
Re: 0.000 0.500 0.000 [2 per cell]
H: 0.500 0.500 0.500 [1 per cell]
Pd: 0.000 0.000 0.500 [1 per cell]

***

Computed, not measured: ReHPdW2 after structural relaxation at the PBE level of DFT.

Properties
For the spin magnetization, the calculation gives 0.000 μB per formula unit. For the total energy, the calculation gives -46.17 eV/cell. Its crystal system is tetragonal.

a = 4.020 Å, b = 4.020 Å, c = 3.955 Å
α = 90.00°, β = 90.00°, γ = 90.00°
Space group P4/mmm (No. 123)
Asymmetric unit:
Re: 0.000 0.000 0.000 [1 per cell]
H: 0.000 0.000 0.500 [1 per cell]
Pd: 0.500 0.500 0.000 [1 per cell]
W: 0.000 0.500 0.500 [2 per cell]

***

Computed, not measured: ReHPdW2 after structural relaxation at the PBE level of DFT.

Properties
For the spin magnetization, the calculation gives 0.000 μB per formula unit. For the total energy, the calculation gives -46.15 eV/cell. Its crystal system is tetragonal.

a = 4.023 Å, b = 4.023 Å, c = 3.949 Å
α = 90.00°, β = 90.00°, γ = 90.00°
Space group P4/mmm (No. 123)
Asymmetric unit:
Re: 0.000 0.000 0.000 [1 per cell]
H: 0.500 0.500 0.500 [1 per cell]
Pd: 0.500 0.500 0.000 [1 per cell]
W: 0.000 0.500 0.500 [2 per cell]

***

Computed, not measured: Zr2ReHPd after structural relaxation at the PBE level of DFT.

Properties
For the spin magnetization, the calculation gives 0.000 μB per formula unit. For the total energy, the calculation gives -39.78 eV/cell. Its crystal system is tetragonal.

a = 4.593 Å, b = 4.593 Å, c = 3.631 Å
α = 90.00°, β = 90.00°, γ = 90.00°
Space group P4/mmm (No. 123)
Asymmetric unit:
Zr: 0.000 0.500 0.000 [2 per cell]
Re: 0.000 0.000 0.500 [1 per cell]
H: 0.000 0.000 0.000 [1 per cell]
Pd: 0.500 0.500 0.500 [1 per cell]

***

Computed, not measured: Zr2ReHPd after structural relaxation at the PBE level of DFT.

Properties
For the spin magnetization, the calculation gives 0.000 μB per formula unit. For the total energy, the calculation gives -36.07 eV/cell. Its crystal system is tetragonal.

a = 5.170 Å, b = 5.170 Å, c = 3.216 Å
α = 90.00°, β = 90.00°, γ = 90.00°
Space group P4/mmm (No. 123)
Asymmetric unit:
Zr: 0.000 0.500 0.000 [2 per cell]
Re: 0.000 0.000 0.500 [1 per cell]
H: 0.500 0.500 0.500 [1 per cell]
Pd: 0.500 0.500 0.000 [1 per cell]

***

Computed, not measured: H6Pd3Rh after structural relaxation at the PBE level of DFT.

Properties
For the spin magnetization, the calculation gives 0.000 μB per formula unit. For the total energy, the calculation gives -129.56 eV/cell. Its crystal system is trigonal.

a = 4.8368 Å, b = 4.8368 Å, c = 11.7457 Å
α = 90.00°, β = 90.00°, γ = 120.00°
Space group R3 (No. 146, hexagonal axes)
Asymmetric unit:
H: 0.0103 0.7441 0.0000 [9 per cell]
H: 0.0163 0.2905 0.5113 [9 per cell]
Pd: 0.0000 0.0000 0.1360 [3 per cell]
Pd: 0.0000 0.0000 0.3898 [3 per cell]
Pd: 0.0000 0.0000 0.6383 [3 per cell]
Rh: 0.0000 0.0000 0.8880 [3 per cell]

***

Computed, not measured: H4Pd3Rh2 after structural relaxation at the PBE level of DFT.

Properties
For the spin magnetization, the calculation gives 0.002 μB per formula unit. For the total energy, the calculation gives -173.71 eV/cell. Its crystal system is monoclinic.

a = 7.569 Å, b = 9.892 Å, c = 4.896 Å
α = 90.00°, β = 108.01°, γ = 90.00°
Space group C2/c (No. 15)
Asymmetric unit:
H: 0.104 0.243 0.042 [8 per cell]
H: 0.203 0.469 0.536 [8 per cell]
Pd: 0.000 0.374 0.250 [4 per cell]
Pd: 0.098 0.123 0.549 [8 per cell]
Rh: 0.198 0.374 0.854 [8 per cell]

***

Computed, not measured: H19Pd4Rh6 after structural relaxation at the PBE level of DFT.

Properties
For the spin magnetization, the calculation gives 0.000 μB per formula unit. For the total energy, the calculation gives -254.54 eV/cell. Its crystal system is cubic.

a = 7.728 Å, b = 7.728 Å, c = 7.728 Å
α = 90.00°, β = 90.00°, γ = 90.00°
Space group I23 (No. 197)
Asymmetric unit:
H: 0.000 0.000 0.000 [2 per cell]
H: 0.000 0.000 0.348 [12 per cell]
H: 0.081 0.312 0.716 [24 per cell]
Pd: 0.138 0.138 0.862 [8 per cell]
Rh: 0.000 0.319 0.500 [12 per cell]

***

Computed, not measured: H8Pd2Rh3 after structural relaxation at the PBE level of DFT.

Properties
For the spin magnetization, the calculation gives 0.000 μB per formula unit. For the total energy, the calculation gives -117.80 eV/cell. Its crystal system is hexagonal.

a = 5.5679 Å, b = 5.5679 Å, c = 7.9825 Å
α = 90.00°, β = 90.00°, γ = 120.00°
Space group P6_3mc (No. 186)
Asymmetric unit:
H: 0.0000 0.0000 0.0000 [2 per cell]
H: 0.0422 0.5211 0.0213 [6 per cell]
H: 0.1471 0.2942 0.2694 [6 per cell]
H: 0.3333 0.6667 0.7805 [2 per cell]
Pd: 0.3333 0.6667 0.1955 [2 per cell]
Pd: 0.3333 0.6667 0.5524 [2 per cell]
Rh: 0.1644 0.3289 0.8876 [6 per cell]

***

Computed, not measured: H3Pd2Rh after structural relaxation at the PBE level of DFT.

Properties
For the spin magnetization, the calculation gives 0.001 μB per formula unit. For the total energy, the calculation gives -224.21 eV/cell. Its crystal system is monoclinic.

a = 5.802 Å, b = 8.326 Å, c = 9.054 Å
α = 90.00°, β = 106.65°, γ = 90.00°
Space group C2/c (No. 15)
Asymmetric unit:
H: 0.103 0.098 0.438 [8 per cell]
H: 0.114 0.353 0.935 [8 per cell]
H: 0.208 0.130 0.747 [8 per cell]
Pd: 0.085 0.375 0.418 [8 per cell]
Pd: 0.248 0.125 0.247 [8 per cell]
Rh: 0.083 0.125 0.916 [8 per cell]